{
  "formula": "MnAl2In",
  "functional": "PBE",
  "state": "optimized geometry",
  "cell": [[4.773, 0.000, 0.000], [0.000, 2.905, -0.042], [0.000, -0.186, 4.963]],
  "species": ["Mn", "Al", "Al", "In"],
  "frac_coords": [[0.500, 0.750, 0.750], [0.000, 0.017, 0.977], [0.000, 0.483, 0.523], [0.500, 0.250, 0.250]],
  "space_group": "No. 10",
  "final_energy_ev_per_cell": -18.7,
  "vol_a3_per_cell": 69,
  "total_magnetization_mub_per_fu": 2.4,
  "dos_at_fermi_per_ev_atom": 0.620,
  "ef_ev_per_atom": 0.180
}